Record 1
Entry from the Alexandria database: a geometry-optimized AcErAgO4 structure (PBE-GGA).

Computed properties:
**Uncorrected formation energy**: -2.279 eV per atom
**Total moment**: 3.599 μB per cell
**Energy**: -189.246 eV per cell

Unit cell a=7.088 b=8.144 c=9.723 alpha=90.00 beta=90.00 gamma=90.00
Space group Imma (No. 74)
One atom of each set of equivalent atoms:
Ac1 0.000 0.000 0.000 x4
Er1 0.250 0.250 0.250 x4
Ag1 0.000 0.250 0.518 x4
O1 0.000 0.073 0.243 x8
O2 0.212 0.250 0.017 x8

Record 2
Entry from the Alexandria database: a geometry-optimized Ac2ErAgO6 structure (PBE-GGA).

Computed properties:
**Uncorrected formation energy**: -2.402 eV per atom
**Total moment**: 1.029 μB per cell
**Energy**: -69.396 eV per cell

Unit cell a=5.954 b=5.954 c=4.541 alpha=90.00 beta=90.00 gamma=90.00
Space group P4mm (No. 99)
One atom of each set of equivalent atoms:
Ac1 0.000 0.500 0.000 x2
Er1 0.000 0.000 0.568 x1
Ag1 0.500 0.500 0.617 x1
O1 0.000 0.000 0.100 x1
O2 0.250 0.250 0.674 x4
O3 0.500 0.500 0.127 x1

Record 3
Entry from the Alexandria database: a geometry-optimized AcErAgOs structure (PBE-GGA).

Computed properties:
**Total moment**: 0.000 μB per cell
**DFT formation energy**: -0.06 eV per atom
**Energy**: -92.023 eV per cell

Unit cell a=7.278 b=7.278 c=7.278 alpha=90.00 beta=90.00 gamma=90.00
Space group F-43m (No. 216)
One atom of each set of equivalent atoms:
Ac1 0.000 0.000 0.000 x4
Er1 0.000 0.000 0.500 x4
Ag1 0.250 0.250 0.750 x4
Os1 0.250 0.250 0.250 x4

Record 4
Entry from the Alexandria database: a geometry-optimized AcEr2Ag2Pb2 structure (PBE-GGA).

Computed properties:
**Total moment**: 0.001 μB per cell
**DFT formation energy**: -0.34 eV per atom
**Energy**: -86.200 eV per cell

Unit cell a=4.9840 b=4.9840 c=27.2554 alpha=90.00 beta=90.00 gamma=120.00
Space group R-3m (No. 166, hexagonal axes)
One atom of each set of equivalent atoms:
Ac1 0.0000 0.0000 0.0000 x3
Er1 0.0000 0.0000 0.1358 x6
Ag1 0.0000 0.0000 0.4458 x6
Pb1 0.0000 0.0000 0.2598 x6

Record 5
Entry from the Alexandria database: a geometry-optimized AcErAg2Pb2 structure (PBE-GGA).

Computed properties:
**Total moment**: 0.000 μB per cell
**DFT formation energy**: -0.41 eV per atom
**Energy**: -24.252 eV per cell

Unit cell a=4.9056 b=4.9056 c=7.9131 alpha=90.00 beta=90.00 gamma=120.00
Space group P-3m1 (No. 164)
One atom of each set of equivalent atoms:
Ac1 0.0000 0.0000 0.0000 x1
Er1 0.0000 0.0000 0.5000 x1
Ag1 0.3333 0.6667 0.6704 x2
Pb1 0.3333 0.6667 0.2575 x2

Record 6
Entry from the Alexandria database: a geometry-optimized AcErAgPd structure (PBE-GGA).

Computed properties:
**Total moment**: 0.000 μB per cell
**DFT formation energy**: -0.48 eV per atom
**Energy**: -74.517 eV per cell

Unit cell a=7.454 b=7.454 c=7.454 alpha=90.00 beta=90.00 gamma=90.00
Space group F-43m (No. 216)
One atom of each set of equivalent atoms:
Ac1 0.000 0.000 0.000 x4
Er1 0.000 0.000 0.500 x4
Ag1 0.250 0.250 0.750 x4
Pd1 0.250 0.250 0.250 x4

Record 7
Entry from the Alexandria database: a geometry-optimized Ac2ErAgPd6 structure (PBE-GGA).

Computed properties:
**Total moment**: 0.000 μB per cell
**DFT formation energy**: -0.18 eV per atom
**Energy**: -194.384 eV per cell

Unit cell a=10.054 b=10.054 c=10.054 alpha=90.00 beta=90.00 gamma=90.00
Space group Fm-3m (No. 225)
One atom of each set of equivalent atoms:
Ac1 0.250 0.250 0.250 x8
Er1 0.000 0.000 0.000 x4
Ag1 0.000 0.000 0.500 x4
Pd1 0.000 0.000 0.250 x24

Record 8
Entry from the Alexandria database: a geometry-optimized AcPrErAg structure (PBE-GGA).

Computed properties:
**Total moment**: 0.003 μB per cell
**DFT formation energy**: 0.18 eV per atom
**Energy**: -62.357 eV per cell

Unit cell a=7.958 b=7.958 c=7.958 alpha=90.00 beta=90.00 gamma=90.00
Space group F-43m (No. 216)
One atom of each set of equivalent atoms:
Ac1 0.000 0.000 0.000 x4
Pr1 0.250 0.250 0.750 x4
Er1 0.250 0.250 0.250 x4
Ag1 0.000 0.000 0.500 x4

Record 9
Entry from the Alexandria database: a geometry-optimized AcErAgPt structure (PBE-GGA).

Computed properties:
**Total moment**: 0.000 μB per cell
**DFT formation energy**: -0.64 eV per atom
**Energy**: -80.538 eV per cell

Unit cell a=7.415 b=7.415 c=7.415 alpha=90.00 beta=90.00 gamma=90.00
Space group F-43m (No. 216)
One atom of each set of equivalent atoms:
Ac1 0.000 0.000 0.000 x4
Er1 0.000 0.000 0.500 x4
Ag1 0.250 0.250 0.750 x4
Pt1 0.250 0.250 0.250 x4

Record 10
Entry from the Alexandria database: a geometry-optimized AcErAgRh structure (PBE-GGA).

Computed properties:
**Total moment**: 0.000 μB per cell
**DFT formation energy**: -0.42 eV per atom
**Energy**: -82.146 eV per cell

Unit cell a=7.352 b=7.352 c=7.352 alpha=90.00 beta=90.00 gamma=90.00
Space group F-43m (No. 216)
One atom of each set of equivalent atoms:
Ac1 0.000 0.000 0.000 x4
Er1 0.000 0.000 0.500 x4
Ag1 0.250 0.250 0.750 x4
Rh1 0.250 0.250 0.250 x4

Record 11
Entry from the Alexandria database: a geometry-optimized Ac2ErAgS5 structure (PBE-GGA).

Computed properties:
**Uncorrected formation energy**: -1.801 eV per atom
**Total moment**: 0.000 μB per cell
**Energy**: -209.917 eV per cell

Unit cell a=4.129 b=17.202 c=12.335 alpha=90.00 beta=90.00 gamma=90.00
Space group Cmc2_1 (No. 36)
One atom of each set of equivalent atoms:
Ac1 0.000 0.111 0.000 x4
Ac2 0.000 0.127 0.622 x4
Er1 0.000 0.196 0.323 x4
Ag1 0.000 0.455 0.777 x4
S1 0.000 0.050 0.388 x4
S2 0.000 0.288 0.974 x4
S3 0.000 0.306 0.671 x4
S4 0.000 0.354 0.316 x4
S5 0.000 0.498 0.088 x4

Record 12
Entry from the Alexandria database: a geometry-optimized AcErScAg structure (PBE-GGA).

Computed properties:
**Total moment**: 0.064 μB per cell
**DFT formation energy**: 0.21 eV per atom
**Energy**: -68.029 eV per cell

Unit cell a=7.649 b=7.649 c=7.649 alpha=90.00 beta=90.00 gamma=90.00
Space group F-43m (No. 216)
One atom of each set of equivalent atoms:
Ac1 0.000 0.000 0.000 x4
Er1 0.250 0.250 0.250 x4
Sc1 0.250 0.250 0.750 x4
Ag1 0.000 0.000 0.500 x4

Record 13
Entry from the Alexandria database: a geometry-optimized AcErAg2Se4 structure (PBE-GGA).

Computed properties:
**Uncorrected formation energy**: -1.130 eV per atom
**Total moment**: 0.000 μB per cell
**Energy**: -74.696 eV per cell

Unit cell a=7.112 b=7.361 c=8.382 alpha=90.00 beta=90.00 gamma=90.00
Space group I222 (No. 23)
One atom of each set of equivalent atoms:
Ac1 0.000 0.000 0.000 x2
Er1 0.000 0.000 0.500 x2
Ag1 0.000 0.500 0.169 x4
Se1 0.218 0.223 0.318 x8

Record 14
Entry from the Alexandria database: a geometry-optimized Ac2ErAgSe5 structure (PBE-GGA).

Computed properties:
**Uncorrected formation energy**: -1.671 eV per atom
**Total moment**: 0.000 μB per cell
**Energy**: -192.387 eV per cell

Unit cell a=4.291 b=18.042 c=12.772 alpha=90.00 beta=90.00 gamma=90.00
Space group Cmc2_1 (No. 36)
One atom of each set of equivalent atoms:
Ac1 0.000 0.111 0.000 x4
Ac2 0.000 0.126 0.622 x4
Er1 0.000 0.195 0.323 x4
Ag1 0.000 0.443 0.771 x4
Se1 0.000 0.048 0.385 x4
Se2 0.000 0.288 0.975 x4
Se3 0.000 0.305 0.667 x4
Se4 0.000 0.354 0.315 x4
Se5 0.000 0.498 0.086 x4

Record 15
Entry from the Alexandria database: a geometry-optimized AcErSiAg structure (PBE-GGA).

Computed properties:
**Uncorrected formation energy**: -0.320 eV per atom
**Total moment**: 0.001 μB per cell
**Energy**: -72.903 eV per cell

Unit cell a=7.472 b=7.472 c=7.472 alpha=90.00 beta=90.00 gamma=90.00
Space group F-43m (No. 216)
One atom of each set of equivalent atoms:
Ac1 0.000 0.000 0.000 x4
Er1 0.000 0.000 0.500 x4
Si1 0.250 0.250 0.750 x4
Ag1 0.250 0.250 0.250 x4

Record 16
Entry from the Alexandria database: a geometry-optimized AcErAg2Sn2 structure (PBE-GGA).

Computed properties:
**Total moment**: 0.000 μB per cell
**DFT formation energy**: -0.58 eV per atom
**Energy**: -25.859 eV per cell

Unit cell a=4.8133 b=4.8133 c=7.9018 alpha=90.00 beta=90.00 gamma=120.00
Space group P-3m1 (No. 164)
One atom of each set of equivalent atoms:
Ac1 0.0000 0.0000 0.0000 x1
Er1 0.0000 0.0000 0.5000 x1
Ag1 0.3333 0.6667 0.6822 x2
Sn1 0.3333 0.6667 0.2672 x2

Record 17
Entry from the Alexandria database: a geometry-optimized AcErAg2Te4 structure (PBE-GGA).

Computed properties:
**Uncorrected formation energy**: -0.814 eV per atom
**Total moment**: 0.000 μB per cell
**Energy**: -66.905 eV per cell

Unit cell a=7.599 b=7.967 c=8.691 alpha=90.00 beta=90.00 gamma=90.00
Space group I222 (No. 23)
One atom of each set of equivalent atoms:
Ac1 0.000 0.000 0.000 x2
Er1 0.000 0.000 0.500 x2
Ag1 0.000 0.500 0.163 x4
Te1 0.223 0.219 0.308 x8

Record 18
Entry from the Alexandria database: a geometry-optimized Ac2ErAgTe5 structure (PBE-GGA).

Computed properties:
**Uncorrected formation energy**: -1.302 eV per atom
**Total moment**: 0.000 μB per cell
**Energy**: -172.243 eV per cell

Unit cell a=4.537 b=19.480 c=13.516 alpha=90.00 beta=90.00 gamma=90.00
Space group Cmc2_1 (No. 36)
One atom of each set of equivalent atoms:
Ac1 0.000 0.111 0.000 x4
Ac2 0.000 0.125 0.620 x4
Er1 0.000 0.192 0.322 x4
Ag1 0.000 0.431 0.769 x4
Te1 0.000 0.046 0.381 x4
Te2 0.000 0.287 0.976 x4
Te3 0.000 0.304 0.661 x4
Te4 0.000 0.353 0.313 x4
Te5 0.000 0.499 0.090 x4

Record 19
Entry from the Alexandria database: a geometry-optimized Ac3Er2Tl4Ag2 structure (PBE-GGA).

Computed properties:
**Total moment**: 0.000 μB per cell
**DFT formation energy**: -0.20 eV per atom
**Energy**: -38.774 eV per cell

Unit cell a=5.1242 b=5.1242 c=15.4601 alpha=90.00 beta=90.00 gamma=120.00
Space group P-3m1 (No. 164)
One atom of each set of equivalent atoms:
Ac1 0.0000 0.0000 0.0000 x1
Ac2 0.0000 0.0000 0.2508 x2
Er1 0.3333 0.6667 0.5717 x2
Tl1 0.3333 0.6667 0.3688 x2
Tl2 0.3333 0.6667 0.8700 x2
Ag1 0.3333 0.6667 0.1279 x2

Record 20
Entry from the Alexandria database: a geometry-optimized AcEr2Tl2Ag2 structure (PBE-GGA).

Computed properties:
**Total moment**: 0.000 μB per cell
**DFT formation energy**: -0.23 eV per atom
**Energy**: -75.814 eV per cell

Unit cell a=4.9492 b=4.9492 c=27.2835 alpha=90.00 beta=90.00 gamma=120.00
Space group R-3m (No. 166, hexagonal axes)
One atom of each set of equivalent atoms:
Ac1 0.0000 0.0000 0.0000 x3
Er1 0.0000 0.0000 0.1352 x6
Tl1 0.0000 0.0000 0.2571 x6
Ag1 0.0000 0.0000 0.4428 x6

Record 21
Entry from the Alexandria database: a geometry-optimized AcErTmAg structure (PBE-GGA).

Computed properties:
**Total moment**: 0.000 μB per cell
**DFT formation energy**: 0.19 eV per atom
**Energy**: -60.889 eV per cell

Unit cell a=7.808 b=7.808 c=7.808 alpha=90.00 beta=90.00 gamma=90.00
Space group F-43m (No. 216)
One atom of each set of equivalent atoms:
Ac1 0.000 0.000 0.000 x4
Er1 0.250 0.250 0.250 x4
Tm1 0.250 0.250 0.750 x4
Ag1 0.000 0.000 0.500 x4

Record 22
Entry from the Alexandria database: a geometry-optimized AcYErAg structure (PBE-GGA).

Computed properties:
**Total moment**: 0.000 μB per cell
**DFT formation energy**: 0.18 eV per atom
**Energy**: -69.020 eV per cell

Unit cell a=7.854 b=7.854 c=7.854 alpha=90.00 beta=90.00 gamma=90.00
Space group F-43m (No. 216)
One atom of each set of equivalent atoms:
Ac1 0.000 0.000 0.000 x4
Y1 0.250 0.250 0.750 x4
Er1 0.250 0.250 0.250 x4
Ag1 0.000 0.000 0.500 x4

Record 23
Entry from the Alexandria database: a geometry-optimized AcErZnAg structure (PBE-GGA).

Computed properties:
**E above lowest polymorph**: 42 meV/atom
**Total moment**: 0.000 μB per cell
**DFT formation energy**: -0.23 eV per atom
**Energy**: -54.940 eV per cell

Unit cell a=7.547 b=7.547 c=7.547 alpha=90.00 beta=90.00 gamma=90.00
Space group F-43m (No. 216)
One atom of each set of equivalent atoms:
Ac1 0.000 0.000 0.000 x4
Er1 0.000 0.000 0.500 x4
Zn1 0.250 0.250 0.250 x4
Ag1 0.250 0.250 0.750 x4

Record 24
Entry from the Alexandria database: a geometry-optimized AcErZnAg structure (PBE-GGA).

Computed properties:
**E above lowest polymorph**: 0 meV/atom
**Total moment**: 0.000 μB per cell
**DFT formation energy**: -0.28 eV per atom
**Energy**: -13.903 eV per cell

Unit cell a=3.728 b=3.728 c=7.591 alpha=90.00 beta=90.00 gamma=90.00
Space group P4mm (No. 99)
One atom of each set of equivalent atoms:
Ac1 0.000 0.000 0.000 x1
Er1 0.000 0.000 0.489 x1
Zn1 0.500 0.500 0.281 x1
Ag1 0.500 0.500 0.699 x1

Record 25
Entry from the Alexandria database: a geometry-optimized AcEuAg4 structure (PBE-GGA).

Computed properties:
**Total moment**: 29.003 μB per cell
**DFT formation energy**: -0.19 eV per atom
**Energy**: -107.603 eV per cell

Unit cell a=8.383 b=8.383 c=8.383 alpha=90.00 beta=90.00 gamma=90.00
Space group F-43m (No. 216)
One atom of each set of equivalent atoms:
Ac1 0.000 0.000 0.000 x4
Eu1 0.250 0.250 0.250 x4
Ag1 0.124 0.124 0.624 x16